(1)
First-principles (meta-GGA SCAN) data for a PBEsol-optimized structure of MoIrRu2, as listed in the Alexandria database.

abc: 2.7014 2.7014 7.6672
angles: 90.00 90.00 90.00
Last column: nearest neighbours and their distance in Å.
Space group P4mm (No. 99)
One atom of each set of equivalent atoms:
Mo  0.0000  0.0000  0.0000 [1 per cell]  4 Mo 2.70, 4 Ir 2.71, 4 Ru 2.78
Ir  0.5000  0.5000  0.7493 [1 per cell]  4 Ir 2.70, 4 Mo 2.71, 4 Ru 2.73
Ru  0.0000  0.0000  0.4942 [1 per cell]  8 Ru 2.61-2.70, 4 Ir 2.73
Ru  0.5000  0.5000  0.2626 [1 per cell]  8 Ru 2.61-2.70, 4 Mo 2.78

Values from the calculation:
The formation energy is -47 meV per atom.

---

(2)
First-principles (meta-GGA SCAN) data for a PBEsol-optimized structure of AlSi2TcSb, as listed in the Alexandria database.

abc: 4.6068 4.6068 4.6282
angles: 90.00 90.00 90.00
Last column: nearest neighbours and their distance in Å.
Space group P4/mmm (No. 123)
One atom of each set of equivalent atoms:
Al  0.0000  0.0000  0.0000 [1 per cell]  4 Si 2.30, 2 Tc 2.31
Si  0.0000  0.5000  0.0000 [2 per cell]  2 Al 2.30
Tc  0.0000  0.0000  0.5000 [1 per cell]  2 Al 2.31
Sb  0.5000  0.5000  0.5000 [1 per cell]  4 Tc 3.26, 8 Si 3.27

Values from the calculation:
The uncorrected formation energy comes out at 1.19 eV per atom.

---

(3)
First-principles (meta-GGA SCAN) data for a PBEsol-optimized structure of ZnSe2Br, as listed in the Alexandria database.

abc: 3.7257 3.7257 6.6585
angles: 90.00 90.00 90.00
Last column: nearest neighbours and their distance in Å.
Space group P4/mmm (No. 123)
One atom of each set of equivalent atoms:
Zn  0.0000  0.0000  0.0000 [1 per cell]  4 Br 2.63
Se  0.0000  0.5000  0.5000 [2 per cell]  4 Se 2.63
Br  0.5000  0.5000  0.0000 [1 per cell]  4 Zn 2.63

Values from the calculation:
The uncorrected formation energy comes out at 0.00 eV per atom.

---

(4)
First-principles (meta-GGA SCAN) data for a PBEsol-optimized structure of InB3I, as listed in the Alexandria database.

abc: 4.4189 4.4189 4.4189
angles: 90.00 90.00 90.00
Last column: nearest neighbours and their distance in Å.
Space group Pm-3m (No. 221)
One atom of each set of equivalent atoms:
In  0.0000  0.0000  0.0000 [1 per cell]  12 B 3.12
B  0.0000  0.5000  0.5000 [3 per cell]  2 I 2.21
I  0.5000  0.5000  0.5000 [1 per cell]  6 B 2.21

Values from the calculation:
The uncorrected formation energy comes out at 2.53 eV per atom.

---

(5)
First-principles (meta-GGA SCAN) data for a PBEsol-optimized structure of CsNb2Si, as listed in the Alexandria database.

abc: 4.7938 4.7938 18.3403
angles: 90.00 90.00 90.00
Last column: nearest neighbours and their distance in Å.
Space group I-42d (No. 122)
One atom of each set of equivalent atoms:
Cs  0.0000  0.0000  0.0000 [4 per cell]  4 Nb 3.23, 4 Si 3.39
Nb  0.0955  0.2500  0.6250 [8 per cell]  2 Nb 2.57, 2 Si 2.63
Si  0.0000  0.0000  0.5000 [4 per cell]  4 Nb 2.63

Values from the calculation:
The uncorrected formation energy comes out at 1.22 eV per atom.

---

(6)
First-principles (meta-GGA SCAN) data for a PBEsol-optimized structure of Te2MoAu, as listed in the Alexandria database.

abc: 4.8113 4.8113 3.4634
angles: 90.00 90.00 90.00
Last column: nearest neighbours and their distance in Å.
Space group P4/mmm (No. 123)
One atom of each set of equivalent atoms:
Te  0.0000  0.5000  0.0000 [2 per cell]  4 Mo 2.96, 4 Au 2.96
Mo  0.0000  0.0000  0.5000 [1 per cell]  8 Te 2.96
Au  0.5000  0.5000  0.5000 [1 per cell]  8 Te 2.96

Values from the calculation:
The uncorrected formation energy comes out at 0.54 eV per atom.

---

Please write out number 2 again, unchanged.
First-principles (meta-GGA SCAN) data for a PBEsol-optimized structure of AlSi2TcSb, as listed in the Alexandria database.

abc: 4.6068 4.6068 4.6282
angles: 90.00 90.00 90.00
Last column: nearest neighbours and their distance in Å.
Space group P4/mmm (No. 123)
One atom of each set of equivalent atoms:
Al  0.0000  0.0000  0.0000 [1 per cell]  4 Si 2.30, 2 Tc 2.31
Si  0.0000  0.5000  0.0000 [2 per cell]  2 Al 2.30
Tc  0.0000  0.0000  0.5000 [1 per cell]  2 Al 2.31
Sb  0.5000  0.5000  0.5000 [1 per cell]  4 Tc 3.26, 8 Si 3.27

Values from the calculation:
The uncorrected formation energy comes out at 1.19 eV per atom.

---

Please write out number 6 again, unchanged.
First-principles (meta-GGA SCAN) data for a PBEsol-optimized structure of Te2MoAu, as listed in the Alexandria database.

abc: 4.8113 4.8113 3.4634
angles: 90.00 90.00 90.00
Last column: nearest neighbours and their distance in Å.
Space group P4/mmm (No. 123)
One atom of each set of equivalent atoms:
Te  0.0000  0.5000  0.0000 [2 per cell]  4 Mo 2.96, 4 Au 2.96
Mo  0.0000  0.0000  0.5000 [1 per cell]  8 Te 2.96
Au  0.5000  0.5000  0.5000 [1 per cell]  8 Te 2.96

Values from the calculation:
The uncorrected formation energy comes out at 0.54 eV per atom.